Record 1
Ta7Nb2Tc: optimized geometry, GGA-PBE.

ΔE_f ... 1.489 eV/atom
E ... -9.859 eV per atom
Total moment ... 0.00 μB per formula unit

abc: 6.798 6.798 6.798
angles: 60.00 60.00 60.00
Atoms (fractional coordinates):
Ta 0.500 0.500 0.500
Ta 0.246 0.754 0.754
Ta 0.246 0.754 0.246
Ta 0.754 0.246 0.754
Ta 0.754 0.754 0.246
Ta 0.246 0.246 0.754
Ta 0.754 0.246 0.246
Nb 0.250 0.250 0.250
Nb 0.750 0.750 0.750
Tc 0.000 0.000 0.000


Record 2
Ta6NbTc5: optimized geometry, GGA-PBE.

ΔE_f ... -0.414 eV/atom
E ... -11.499 eV per atom
Total moment ... 0.00 μB per formula unit

abc: 4.530 6.407 7.861
angles: 114.05 106.75 90.00
Atoms (fractional coordinates):
Nb 0.000 0.000 0.000
Tc 0.668 0.168 0.337
Tc 0.333 0.333 0.667
Tc 0.000 0.500 0.000
Tc 0.667 0.667 0.333
Tc 0.332 0.832 0.663
Ta 0.832 0.580 0.664
Ta 0.832 0.083 0.664
Ta 0.500 0.746 0.000
Ta 0.500 0.254 0.000
Ta 0.168 0.917 0.336
Ta 0.168 0.420 0.336


Record 3
TaNb2Tc: optimized geometry, GGA-PBE.

ΔE_f ... 0.493 eV/atom
E ... -10.097 eV per atom
Total moment ... 0.00 μB per formula unit

abc: 7.358 7.358 5.883
angles: 51.29 51.29 90.00
Atoms (fractional coordinates):
Nb 0.600 0.125 0.250
Nb 0.150 0.625 0.250
Nb 0.375 0.400 0.750
Nb 0.875 0.850 0.750
Tc 0.500 0.500 0.000
Tc 0.250 0.750 0.500
Ta 0.000 0.000 0.000
Ta 0.750 0.250 0.500


Record 4
TaNb2Tc4: optimized geometry, GGA-PBE.

ΔE_f ... 0.215 eV/atom
E ... -10.279 eV per atom
Total moment ... 0.43 μB per formula unit

abc: 5.421 5.421 5.421
angles: 109.24 109.59 109.59
Site moments in Bohr magnetons follow the coordinates.
Atoms (fractional coordinates):
Ta 0.000 0.000 0.000  -0.01
Nb 0.500 0.500 0.000  -0.01
Nb 0.500 0.000 0.500  -0.01
Tc 0.500 0.000 0.000  0.10
Tc 0.500 0.500 0.500  0.10
Tc 0.000 0.000 0.500  0.10
Tc 0.000 0.500 0.000  0.10


Record 5
TaNb3Tc4: optimized geometry, GGA-PBE.

ΔE_f ... -0.382 eV/atom
E ... -10.823 eV per atom
Total moment ... 0.00 μB per formula unit

abc: 3.192 3.192 12.766
angles: 90.00 90.00 90.00
Atoms (fractional coordinates):
Nb 0.500 0.500 0.250
Nb 0.500 0.500 0.500
Nb 0.500 0.500 0.750
Tc 0.000 0.000 0.876
Tc 0.000 0.000 0.124
Tc 0.000 0.000 0.375
Tc 0.000 0.000 0.625
Ta 0.500 0.500 0.000


Record 6
Ta3Nb4Tc: optimized geometry, GGA-PBE.

ΔE_f ... 0.042 eV/atom
E ... -10.733 eV per atom
Total moment ... 0.00 μB per formula unit

abc: 5.469 5.546 9.480
angles: 90.00 90.00 90.00
Atoms (fractional coordinates):
Ta 0.808 0.703 0.000
Ta 0.078 0.566 0.253
Ta 0.578 0.434 0.247
Ta 0.308 0.297 0.500
Ta 0.578 0.434 0.753
Ta 0.078 0.566 0.747
Nb 0.306 0.800 0.000
Nb 0.304 0.298 0.000
Nb 0.066 0.066 0.249
Nb 0.566 0.934 0.251
Nb 0.804 0.702 0.500
Nb 0.806 0.200 0.500
Nb 0.566 0.934 0.749
Nb 0.066 0.066 0.751
Tc 0.808 0.210 0.000
Tc 0.308 0.790 0.500


Record 7
Ta8Nb2Tc: optimized geometry, GGA-PBE.

ΔE_f ... 0.082 eV/atom
E ... -11.311 eV per atom
Total moment ... 0.00 μB per formula unit

abc: 5.386 7.632 7.632
angles: 41.37 79.08 79.08
Atoms (fractional coordinates):
Ta 0.070 0.090 0.588
Ta 0.070 0.588 0.090
Ta 0.930 0.910 0.412
Ta 0.257 0.500 0.500
Ta 0.930 0.412 0.910
Ta 0.459 0.102 0.102
Ta 0.541 0.898 0.898
Ta 0.743 0.500 0.500
Nb 0.566 0.305 0.305
Nb 0.434 0.695 0.695
Tc 0.000 0.000 0.000


Record 8
Ta5Nb4Tc: optimized geometry, GGA-PBE.

ΔE_f ... -0.114 eV/atom
E ... -11.105 eV per atom
Total moment ... 0.00 μB per formula unit

abc: 3.268 3.268 16.648
angles: 90.00 90.00 90.00
Atoms (fractional coordinates):
Ta 0.500 0.500 0.094
Ta 0.500 0.500 0.297
Ta 0.500 0.500 0.500
Ta 0.500 0.500 0.703
Ta 0.500 0.500 0.906
Nb 0.000 0.000 0.197
Nb 0.000 0.000 0.399
Nb 0.000 0.000 0.601
Nb 0.000 0.000 0.803
Tc 0.000 0.000 0.000


Record 9
TaNb2Tc: optimized geometry, GGA-PBE.

ΔE_f ... -0.256 eV/atom
E ... -10.845 eV per atom
Total moment ... 0.00 μB per formula unit

abc: 3.242 4.524 5.447
angles: 114.55 107.31 90.00
Atoms (fractional coordinates):
Ta 0.000 0.500 0.000
Nb 0.758 0.758 0.516
Nb 0.242 0.242 0.484
Tc 0.500 0.000 0.000


Record 10
TaNb2Tc: optimized geometry, GGA-PBE.

ΔE_f ... -0.168 eV/atom
E ... -10.757 eV per atom
Total moment ... 0.00 μB per formula unit

abc: 4.596 4.596 4.596
angles: 60.00 60.00 60.00
Atoms (fractional coordinates):
Nb 0.250 0.250 0.250
Nb 0.750 0.750 0.750
Tc 0.000 0.000 0.000
Ta 0.500 0.500 0.500


Record 11
TaNbTc2: optimized geometry, GGA-PBE.

ΔE_f ... -0.420 eV/atom
E ... -11.083 eV per atom
Total moment ... 0.00 μB per formula unit

abc: 3.190 3.190 6.382
angles: 90.00 90.00 90.00
Atoms (fractional coordinates):
Nb 0.500 0.500 0.500
Tc 0.000 0.000 0.751
Tc 0.000 0.000 0.249
Ta 0.500 0.500 0.000


Record 12
Ta2NbTc: optimized geometry, GGA-PBE.

ΔE_f ... -0.240 eV/atom
E ... -11.276 eV per atom
Total moment ... 0.00 μB per formula unit

abc: 4.586 4.586 4.586
angles: 60.00 60.00 60.00
Atoms (fractional coordinates):
Nb 0.000 0.000 0.000
Tc 0.500 0.500 0.500
Ta 0.250 0.250 0.250
Ta 0.750 0.750 0.750


Record 13
TaNb2Tc2: optimized geometry, GGA-PBE.

ΔE_f ... 0.171 eV/atom
E ... -10.374 eV per atom
Total moment ... 0.00 μB per formula unit

abc: 7.373 7.373 3.195
angles: 90.00 90.00 90.00
Atoms (fractional coordinates):
Nb 0.165 0.665 0.500
Nb 0.665 0.835 0.500
Nb 0.835 0.335 0.500
Nb 0.335 0.165 0.500
Tc 0.360 0.860 0.000
Tc 0.860 0.640 0.000
Tc 0.640 0.140 0.000
Tc 0.140 0.360 0.000
Ta 0.000 0.000 0.000
Ta 0.500 0.500 0.000


Record 14
Ta3Nb2Tc: optimized geometry, GGA-PBE.

ΔE_f ... -0.181 eV/atom
E ... -11.192 eV per atom
Total moment ... 0.00 μB per formula unit

abc: 4.599 7.287 6.593
angles: 90.00 89.99 71.61
Atoms (fractional coordinates):
Ta 0.831 0.339 0.759
Ta 0.500 0.000 0.243
Ta 0.169 0.661 0.241
Ta 0.830 0.339 0.241
Ta 0.170 0.661 0.759
Ta 0.500 0.000 0.757
Nb 0.000 0.000 0.000
Nb 0.000 0.000 0.500
Nb 0.333 0.333 0.500
Nb 0.667 0.667 0.500
Tc 0.333 0.335 0.000
Tc 0.667 0.665 0.000


Record 15
TaNb14Tc: optimized geometry, GGA-PBE.

ΔE_f ... -0.053 eV/atom
E ... -10.252 eV per atom
Total moment ... 0.00 μB per formula unit

abc: 5.713 5.713 9.343
angles: 90.00 90.00 109.45
Atoms (fractional coordinates):
Ta 0.125 0.875 0.500
Nb 0.125 0.875 0.000
Nb 0.625 0.375 0.000
Nb 0.125 0.375 0.500
Nb 0.125 0.375 0.000
Nb 0.625 0.875 0.500
Nb 0.625 0.875 0.000
Nb 0.381 0.131 0.743
Nb 0.381 0.131 0.257
Nb 0.869 0.619 0.743
Nb 0.869 0.619 0.257
Nb 0.372 0.628 0.750
Nb 0.372 0.628 0.250
Nb 0.878 0.122 0.750
Nb 0.878 0.122 0.250
Tc 0.625 0.375 0.500


Record 16
Ta3NbTc4: optimized geometry, GGA-PBE.

ΔE_f ... -0.459 eV/atom
E ... -11.345 eV per atom
Total moment ... 0.00 μB per formula unit

abc: 3.189 4.510 9.020
angles: 90.00 90.00 90.00
Atoms (fractional coordinates):
Nb 0.500 0.500 0.000
Tc 0.000 0.000 0.500
Tc 0.000 0.500 0.749
Tc 0.000 0.000 0.000
Tc 0.000 0.500 0.251
Ta 0.500 0.000 0.250
Ta 0.500 0.500 0.500
Ta 0.500 0.000 0.750


Record 17
Ta3NbTc: optimized geometry, GGA-PBE.

ΔE_f ... 1.233 eV/atom
E ... -9.966 eV per atom
Total moment ... 0.00 μB per formula unit

abc: 4.766 4.766 4.766
angles: 90.00 90.00 90.00
Atoms (fractional coordinates):
Nb 0.500 0.500 0.500
Tc 0.000 0.000 0.000
Ta 0.000 0.500 0.000
Ta 0.000 0.000 0.500
Ta 0.500 0.000 0.000


Record 18
Ta2NbTlTc: optimized geometry, GGA-PBE.

ΔE_f ... 1.038 eV/atom
E ... -8.264 eV per atom
Total moment ... 0.00 μB per formula unit

abc: 4.840 4.844 4.840
angles: 90.00 90.00 90.00
Atoms (fractional coordinates):
Tl 0.500 0.500 0.500
Tc 0.000 0.000 0.000
Nb 0.000 0.500 0.000
Ta 0.000 0.000 0.500
Ta 0.500 0.000 0.000


Record 19
Ta2NbTlTc: optimized geometry, GGA-PBE.

ΔE_f ... 2.476 eV/atom
E ... -6.825 eV per atom
Total moment ... 0.00 μB per formula unit

abc: 5.004 4.834 5.004
angles: 90.00 90.00 90.00
Atoms (fractional coordinates):
Tl 0.000 0.000 0.000
Tc 0.000 0.500 0.000
Nb 0.500 0.500 0.500
Ta 0.000 0.000 0.500
Ta 0.500 0.000 0.000


Record 20
TaNbVTc: optimized geometry, GGA-PBE.

ΔE_f ... -0.228 eV/atom
E ... -10.579 eV per atom
Total moment ... 0.00 μB per formula unit

abc: 4.495 4.495 4.495
angles: 60.00 60.00 60.00
Atoms (fractional coordinates):
Nb 0.500 0.500 0.500
V 0.250 0.250 0.250
Tc 0.750 0.750 0.750
Ta 0.000 0.000 0.000


Record 21
TaNbVTc: optimized geometry, GGA-PBE.

ΔE_f ... -0.246 eV/atom
E ... -10.598 eV per atom
Total moment ... 0.00 μB per formula unit

abc: 3.167 3.167 6.393
angles: 90.00 90.00 90.00
Atoms (fractional coordinates):
Ta 0.000 0.000 0.857
Nb 0.000 0.000 0.356
V 0.500 0.500 0.107
Tc 0.500 0.500 0.608


Record 22
TaNbTcW: optimized geometry, GGA-PBE.

ΔE_f ... -0.252 eV/atom
E ... -11.562 eV per atom
Total moment ... 0.00 μB per formula unit

abc: 3.213 3.213 6.457
angles: 90.00 90.00 90.00
Atoms (fractional coordinates):
Ta 0.500 0.500 0.110
Nb 0.500 0.500 0.605
Tc 0.000 0.000 0.356
W 0.000 0.000 0.857


Record 23
TaNbTcW: optimized geometry, GGA-PBE.

ΔE_f ... -0.236 eV/atom
E ... -11.546 eV per atom
Total moment ... 0.00 μB per formula unit

abc: 4.547 4.547 4.547
angles: 60.00 60.00 60.00
Atoms (fractional coordinates):
Nb 0.250 0.250 0.250
Tc 0.500 0.500 0.500
W 0.000 0.000 0.000
Ta 0.750 0.750 0.750


Record 24
TaNbTe4: optimized geometry, GGA-PBE.

Raw formation energy ... -0.411 eV/atom
E ... -6.159 eV per atom
Total moment ... 0.00 μB per formula unit

abc: 7.297 9.930 7.797
angles: 69.75 76.48 100.63
Atoms (fractional coordinates):
Ta 0.325 0.288 0.987
Ta 0.000 0.000 0.000
Ta 0.500 0.000 0.000
Nb 0.175 0.713 0.013
Nb 0.675 0.712 0.013
Nb 0.825 0.287 0.988
Te 0.817 0.986 0.720
Te 0.317 0.986 0.720
Te 0.184 0.015 0.280
Te 0.683 0.013 0.281
Te 0.649 0.304 0.706
Te 0.150 0.304 0.706
Te 0.350 0.696 0.295
Te 0.851 0.696 0.295
Te 0.455 0.616 0.795
Te 0.955 0.615 0.796
Te 0.545 0.384 0.204
Te 0.045 0.384 0.204


Record 25
TaNbTe: optimized geometry, GGA-PBE.

Raw formation energy ... 0.218 eV/atom
E ... -8.136 eV per atom
Total moment ... 0.00 μB per formula unit

abc: 3.146 5.553 9.593
angles: 94.98 80.56 73.54
Atoms (fractional coordinates):
Ta 0.502 0.373 0.623
Ta 0.498 0.627 0.377
Nb 0.782 0.070 0.367
Nb 0.218 0.930 0.633
Te 0.734 0.694 0.838
Te 0.266 0.306 0.162